Material: Mn2IrF
Method: DFT, GGA+U
State: optimized geometry

Output
- magnetic moment (μB per cell) = 0.00
- calculated total energy (eV per cell) = -73.890

a = 5.774 Å, b = 5.774 Å, c = 5.774 Å
α = 90.00°, β = 90.00°, γ = 90.00°
Space group Fm-3m (No. 225)
Inequivalent atoms, fractional coordinates:
Mn 0.250 0.250 0.250 [8 per cell]
Ir 0.000 0.000 0.000 [4 per cell]
F 0.000 0.000 0.500 [4 per cell]